Material: K2FeW
Method: DFT, GGA-PBE
State: relaxed

Cell lengths 5.7241, 5.7241, 5.7241 Å; angles 60.00, 60.00, 60.00 degrees
Closest atoms and distances in Å follow each position.
Atoms (fractional coordinates):
Fe  0.0000  0.0000  0.0000  8 K 3.51
W  0.5000  0.5000  0.5000  8 K 3.51
K  0.7500  0.7500  0.7500  4 Fe 3.51, 4 W 3.51
K  0.2500  0.2500  0.2500  4 Fe 3.51, 4 W 3.51

Computed properties:
Space-group type: No. 225
M_tot: 1.998 μB per atom
DOS at the Fermi energy: 2.25 states/eV/f.u.
ΔH_f (0 K): 2.23 eV per atom
Excess energy over the best structure of this formula in the dataset: 1327.3 meV per atom
Total DFT energy (no corrections): -14.7 eV for the cell shown